VASP calculation (PBE) on a relaxed CsHf2Rh4 crystal.

a b c (Å): 7.656 7.656 7.656
angles (deg): 141.65 141.65 55.35
Sites, in units of the cell vectors:
1 Cs 0.000 0.000 0.000
2 Hf 0.385 0.385 0.000
3 Hf 0.615 0.615 0.000
4 Rh 0.000 0.500 0.500
5 Rh 0.218 0.218 0.000
6 Rh 0.500 0.000 0.500
7 Rh 0.782 0.782 0.000

- DOS at the Fermi energy (states/eV/f.u.) = 3.76
- energy of formation (meV/atom) = 1088
- total energy (hartree per atom) = -0.22337